Compound: Ti6In2Os
Source: Alexandria via LeMat-Bulk
Functional: PBE
Structure: optimized geometry

Space-group type: No. 12
ΔE_f, kJ per mole of atoms: 21.3

Cell lengths 4.2889, 6.6267, 7.7457 Å; angles 115.33, 106.14, 90.00 degrees
Fractional coordinates of all 9 atoms:
In  0.3375  0.3384  0.6767
In  0.6625  0.6616  0.3233
Ti  0.1585  0.3804  0.3155
Ti  0.5000  0.2197  0.0000
Ti  0.8415  0.6196  0.6845
Ti  0.1585  0.9351  0.3155
Ti  0.5000  0.7803  0.0000
Ti  0.8415  0.0649  0.6845
Os  0.0000  0.0000  0.0000